This record from Alexandria via LeMat-Bulk describes a geometry-optimized Li14GaAu structure. The functional is PBE-GGA.

Values from the calculation:
Crystal system   tetragonal
Volume   17.951 Å³/atom
Total DFT energy (no corrections)   -2.2117 eV per atom

a b c (Å): 5.9176 5.9176 8.2018
angles (deg): 90.00 90.00 90.00
Space group P4/mmm (No. 123)
One atom of each set of equivalent atoms:
Li (0.0000, 0.0000, 0.0000) [1 per cell]
Li (0.0000, 0.5000, 0.0000) [2 per cell]
Li (0.0000, 0.5000, 0.5000) [2 per cell]
Li (0.2491, 0.2491, 0.2721) [8 per cell]
Li (0.5000, 0.5000, 0.0000) [1 per cell]
Ga (0.5000, 0.5000, 0.5000) [1 per cell]
Au (0.0000, 0.0000, 0.5000) [1 per cell]